A relaxed structure of Fe3Si. Source: Alexandria via LeMat-Bulk, functional PBE-GGA.

Results
Density ... 7.5 g cm⁻³
N(E_F) ... 0.882 states/eV/atom
E_form (uncorrected) ... -0.262 eV/atom
Calculated total energy ... -31.86 eV/cell
Total magnetic moment ... 4.05 μB per formula unit

Cell: 3.9195 2.8237 3.9194 Å, 90.00 90.00 90.00°
Last column: magnetic moment on the atom in μB.
Element x y z (fractional)
Fe1 0.5000 0.5000 0.0833  0.89
Fe2 0.0000 0.0000 0.0834  2.41
Fe3 0.0000 0.5000 0.5834  0.89
Si1 0.5000 0.0000 0.5833  -0.04

---

A relaxed structure of Ti4ReNi3. Source: Alexandria via LeMat-Bulk, functional PBE-GGA.

Results
Density ... 8.2 g cm⁻³
N(E_F) ... 1.099 states/eV/atom
Formation energy ... -0.387 eV per atom
Calculated total energy ... -64.47 eV/cell
Total magnetic moment ... 0.00 μB per formula unit

Cell: 3.1097 4.2781 8.4676 Å, 90.00 90.00 90.00°
Element x y z (fractional)
Ti1 0.0000 0.5000 0.2525
Ti2 0.0000 0.5000 0.7475
Ti3 0.0000 0.0000 0.0000
Ti4 0.0000 0.0000 0.5000
Ni1 0.5000 0.0000 0.2531
Ni2 0.5000 0.0000 0.7469
Ni3 0.5000 0.5000 0.5000
Re1 0.5000 0.5000 0.0000

---

A relaxed structure of NbCrIn2Ag. Source: Alexandria via LeMat-Bulk, functional PBE-GGA.

Results
Density ... 7.0 g cm⁻³
N(E_F) ... 0.723 states/eV/atom
Formation energy ... 0.697 eV per atom
Calculated total energy ... -24.54 eV/cell
Total magnetic moment ... 0.00 μB per formula unit

Cell: 5.1015 4.4089 5.1015 Å, 90.00 90.00 90.00°
Element x y z (fractional)
In1 0.0000 0.0000 0.5000
In2 0.5000 0.0000 0.0000
Ag1 0.5000 0.5000 0.5000
Cr1 0.0000 0.0000 0.0000
Nb1 0.0000 0.5000 0.0000

---

A relaxed structure of HfTl3Sb3Se8. Source: Alexandria via LeMat-Bulk, functional PBE-GGA.

Results
Density ... 6.5 g cm⁻³
E_form (uncorrected) ... -0.561 eV/atom
Calculated total energy ... -65.70 eV/cell
Total magnetic moment ... 0.00 μB per formula unit

Cell: 8.2383 8.2389 9.1039 Å, 116.92 90.00 120.00°
Element x y z (fractional)
Se1 0.2628 0.5257 0.2877
Se2 0.2486 0.0250 0.3018
Se3 0.7514 0.9750 0.6982
Se4 0.7764 0.0250 0.3018
Se5 0.2237 0.4474 0.6983
Se6 0.7372 0.4743 0.7123
Se7 0.7763 0.5526 0.3017
Se8 0.2236 0.9750 0.6982
Tl1 0.5000 0.5000 0.0000
Tl2 0.0000 0.5000 0.0000
Tl3 0.0000 0.0000 0.0000
Hf1 0.0000 0.0000 0.5000
Sb1 0.5000 0.5000 0.5000
Sb2 0.5000 0.0000 0.5000
Sb3 0.0000 0.5000 0.5000

---

> Which of these has the highest density?

Ti4ReNi3

---

> calculated total energy of number 3 (NbCrIn2Ag)?

-24.54 eV/cell

---

Please write out number 3 again, unchanged.
A relaxed structure of NbCrIn2Ag. Source: Alexandria via LeMat-Bulk, functional PBE-GGA.

Results
Density ... 7.0 g cm⁻³
N(E_F) ... 0.723 states/eV/atom
Formation energy ... 0.697 eV per atom
Calculated total energy ... -24.54 eV/cell
Total magnetic moment ... 0.00 μB per formula unit

Cell: 5.1015 4.4089 5.1015 Å, 90.00 90.00 90.00°
Element x y z (fractional)
In1 0.0000 0.0000 0.5000
In2 0.5000 0.0000 0.0000
Ag1 0.5000 0.5000 0.5000
Cr1 0.0000 0.0000 0.0000
Nb1 0.0000 0.5000 0.0000

---

> Look up the density of the second one.

8.2 g cm⁻³